# 1
{
  "formula": "YZr2W",
  "functional": "PBE",
  "state": "optimized geometry",
  "cell": [[1.759, -2.488, 0.000], [1.759, 2.488, 0.000], [0.000, 0.000, 10.218]],
  "species": ["Y", "Zr", "Zr", "W"],
  "fractional_positions": [[0.000, 0.000, 0.000], [0.000, 0.000, 0.446], [0.500, 0.500, 0.702], [0.500, 0.500, 0.234]],
  "e_form_mev_per_atom": 329,
  "de_polymorph_ev_per_fu": 0.65,
  "energy_ev_per_fu": -35.20,
  "dos_at_fermi_per_ev_fu": 5.24
}

***

# 2
{
  "formula": "Ce2EuDy",
  "functional": "PBE",
  "state": "optimized geometry",
  "cell": [[4.967, 0.000, 0.000], [0.000, 4.967, 0.000], [0.000, 0.000, 5.204]],
  "species": ["Ce", "Ce", "Eu", "Dy"],
  "fractional_positions": [[0.000, 0.500, 0.000], [0.500, 0.000, 0.000], [0.000, 0.000, 0.500], [0.500, 0.500, 0.500]],
  "e_form_mev_per_atom": 206,
  "energy_ev_per_fu": -25.92,
  "dos_at_fermi_per_ev_fu": 11.75
}

***

# 3
{
  "formula": "La2CeCu6",
  "functional": "PBE",
  "state": "optimized geometry",
  "cell": [[7.503, 0.000, 0.000], [-3.752, 6.498, 0.000], [0.000, 0.000, 3.767]],
  "species": ["La", "La", "Ce", "Cu", "Cu", "Cu", "Cu", "Cu", "Cu"],
  "fractional_positions": [[0.333, 0.667, 0.000], [0.667, 0.333, 0.000], [0.000, 0.000, 0.000], [0.000, 0.331, 0.500], [0.000, 0.669, 0.500], [0.331, 0.000, 0.500], [0.331, 0.331, 0.500], [0.669, 0.000, 0.500], [0.669, 0.669, 0.500]],
  "e_form_mev_per_atom": -186,
  "energy_ev_per_fu": -42.04,
  "dos_at_fermi_per_ev_fu": 10.18
}

***

# 4
{
  "formula": "Cs4Pr3PaO8",
  "functional": "PBE",
  "state": "optimized geometry",
  "cell": [[3.730, 2.153, 6.988], [-3.730, 2.153, 6.988], [0.000, -4.307, 6.988]],
  "species": ["Cs", "Cs", "Cs", "Cs", "Pr", "Pr", "Pr", "Pa", "O", "O", "O", "O", "O", "O", "O", "O"],
  "fractional_positions": [[0.000, 0.000, 0.000], [0.000, 0.500, 0.500], [0.500, 0.000, 0.500], [0.500, 0.500, 0.000], [0.000, 0.000, 0.500], [0.000, 0.500, 0.000], [0.500, 0.000, 0.000], [0.500, 0.500, 0.500], [0.219, 0.219, 0.219], [0.245, 0.707, 0.707], [0.293, 0.293, 0.755], [0.293, 0.755, 0.293], [0.707, 0.245, 0.707], [0.707, 0.707, 0.245], [0.755, 0.293, 0.293], [0.781, 0.781, 0.781]],
  "energy_ev_per_fu": -106.59,
  "dos_at_fermi_per_ev_fu": 6.63,
  "raw_formation_energy_kj_per_mol_fu": -3828
}

***

# 5
{
  "formula": "RbBiP",
  "functional": "PBE",
  "state": "optimized geometry",
  "cell": [[3.952, 0.000, 0.000], [1.973, 6.368, 0.000], [1.964, 0.993, 8.774]],
  "species": ["Rb", "Rb", "Bi", "Bi", "P", "P"],
  "fractional_positions": [[0.000, 0.000, 0.000], [0.129, 0.442, 0.296], [0.232, 0.943, 0.587], [0.378, 0.480, 0.760], [0.743, 0.563, 0.949], [0.825, 0.959, 0.385]],
  "e_form_mev_per_atom": -179,
  "energy_ev_per_fu": -10.79,
  "dos_at_fermi_per_ev_fu": 0.25
}

***

# 6
{
  "formula": "LaDyCd6",
  "functional": "PBE",
  "state": "optimized geometry",
  "cell": [[4.946, 0.000, 0.000], [0.000, 3.622, 5.605], [0.000, -3.622, 5.605]],
  "species": ["La", "Dy", "Cd", "Cd", "Cd", "Cd", "Cd", "Cd"],
  "fractional_positions": [[0.000, 0.000, 0.000], [0.500, 0.720, 0.720], [0.000, 0.050, 0.485], [0.000, 0.485, 0.050], [0.000, 0.536, 0.536], [0.500, 0.194, 0.194], [0.500, 0.240, 0.663], [0.500, 0.663, 0.240]],
  "e_form_mev_per_atom": -287,
  "de_polymorph_ev_per_fu": 0.04,
  "energy_ev_per_fu": -17.32,
  "dos_at_fermi_per_ev_fu": 3.97
}

***

# 7
{
  "formula": "La6CeDyHo2",
  "functional": "PBE",
  "state": "optimized geometry",
  "cell": [[6.090, -3.445, 0.000], [6.090, 3.445, 0.000], [-3.150, 0.000, 8.456]],
  "species": ["La", "La", "La", "La", "La", "La", "Ce", "Dy", "Ho", "Ho"],
  "fractional_positions": [[0.096, 0.614, 0.694], [0.166, 0.166, 0.919], [0.386, 0.904, 0.306], [0.614, 0.096, 0.694], [0.834, 0.834, 0.081], [0.904, 0.386, 0.306], [0.000, 0.000, 0.500], [0.500, 0.500, 0.000], [0.398, 0.398, 0.320], [0.602, 0.602, 0.680]],
  "e_form_mev_per_atom": 224,
  "energy_ev_per_fu": -47.01,
  "dos_at_fermi_per_ev_fu": 22.73
}

***

# 8
{
  "formula": "NaZr",
  "functional": "PBE",
  "state": "optimized geometry",
  "cell": [[0.000, 2.948, 2.948], [2.948, 0.000, 2.948], [2.948, 2.948, 0.000]],
  "species": ["Na", "Zr"],
  "fractional_positions": [[0.000, 0.000, 0.000], [0.500, 0.500, 0.500]],
  "e_form_mev_per_atom": 1468,
  "de_polymorph_ev_per_fu": 2.57,
  "energy_ev_per_fu": -6.93,
  "dos_at_fermi_per_ev_fu": 3.21
}

***

# 9
{
  "formula": "Li2AcTe",
  "functional": "PBE",
  "state": "optimized geometry",
  "cell": [[2.217, 1.280, 6.292], [-2.217, 1.280, 6.292], [0.000, -2.560, 6.292]],
  "species": ["Li", "Li", "Ac", "Te"],
  "fractional_positions": [[0.209, 0.209, 0.209], [0.791, 0.791, 0.791], [0.000, 0.000, 0.000], [0.500, 0.500, 0.500]],
  "energy_ev_per_fu": -13.18,
  "dos_at_fermi_per_ev_fu": 3.26,
  "raw_formation_energy_kj_per_mol_fu": -203
}

***

# 10
{
  "formula": "Rb2Ag2Sn3",
  "functional": "PBE",
  "state": "optimized geometry",
  "cell": [[6.712, -2.362, 0.000], [6.712, 2.362, 0.000], [-5.324, 0.000, 7.227]],
  "species": ["Rb", "Rb", "Ag", "Ag", "Sn", "Sn", "Sn"],
  "fractional_positions": [[0.139, 0.139, 0.267], [0.861, 0.861, 0.733], [0.117, 0.117, 0.705], [0.883, 0.883, 0.295], [0.352, 0.352, 0.060], [0.500, 0.500, 0.500], [0.648, 0.648, 0.940]],
  "e_form_mev_per_atom": -104,
  "energy_ev_per_fu": -20.37,
  "dos_at_fermi_per_ev_fu": 3.74
}

***

# 11
{
  "formula": "Ac2PrSm4",
  "functional": "PBE",
  "state": "optimized geometry",
  "cell": [[7.355, 0.000, 0.000], [-1.859, 8.809, 0.000], [-1.869, -4.299, 8.045]],
  "species": ["Ac", "Ac", "Ac", "Ac", "Pr", "Pr", "Sm", "Sm", "Sm", "Sm", "Sm", "Sm", "Sm", "Sm"],
  "fractional_positions": [[0.000, 0.000, 0.000], [0.104, 0.550, 0.838], [0.215, 0.111, 0.695], [0.811, 0.694, 0.551], [0.325, 0.702, 0.557], [0.673, 0.267, 0.411], [0.186, 0.286, 0.421], [0.298, 0.870, 0.281], [0.400, 0.430, 0.147], [0.502, 0.991, 0.990], [0.603, 0.550, 0.839], [0.706, 0.113, 0.698], [0.790, 0.874, 0.278], [0.899, 0.434, 0.148]],
  "e_form_mev_per_atom": 68,
  "de_polymorph_ev_per_fu": 0.00,
  "energy_ev_per_fu": -31.40,
  "dos_at_fermi_per_ev_fu": 10.55
}

***

# 12
{
  "formula": "Ce4CoBi5",
  "functional": "PBE",
  "state": "optimized geometry",
  "cell": [[8.787, -2.274, 0.000], [8.787, 2.274, 0.000], [-2.464, 0.000, 8.018]],
  "species": ["Ce", "Ce", "Ce", "Ce", "Co", "Bi", "Bi", "Bi", "Bi", "Bi"],
  "fractional_positions": [[0.041, 0.041, 0.237], [0.369, 0.369, 0.051], [0.631, 0.631, 0.949], [0.959, 0.959, 0.763], [0.500, 0.500, 0.000], [0.143, 0.143, 0.649], [0.220, 0.220, 0.221], [0.500, 0.500, 0.500], [0.780, 0.780, 0.779], [0.857, 0.857, 0.351]],
  "e_form_mev_per_atom": -326,
  "energy_ev_per_fu": -53.51,
  "dos_at_fermi_per_ev_fu": 22.62
}

***

# 13
{
  "formula": "Tb2Pr5Dy",
  "functional": "PBE",
  "state": "optimized geometry",
  "cell": [[7.295, 0.000, 0.000], [0.000, 14.609, 0.000], [0.000, 0.000, 5.177]],
  "species": ["Tb", "Tb", "Tb", "Tb", "Pr", "Pr", "Pr", "Pr", "Pr", "Pr", "Pr", "Pr", "Pr", "Pr", "Dy", "Dy"],
  "fractional_positions": [[0.250, 0.124, 0.000], [0.250, 0.624, 0.000], [0.750, 0.376, 0.000], [0.750, 0.876, 0.000], [0.000, 0.000, 0.500], [0.001, 0.748, 0.500], [0.248, 0.376, 0.000], [0.252, 0.876, 0.000], [0.499, 0.248, 0.500], [0.500, 0.500, 0.500], [0.501, 0.752, 0.500], [0.748, 0.124, 0.000], [0.752, 0.624, 0.000], [0.999, 0.252, 0.500], [0.000, 0.500, 0.500], [0.500, 0.000, 0.500]],
  "e_form_mev_per_atom": 16,
  "de_polymorph_ev_per_fu": 0.00,
  "energy_ev_per_fu": -37.63,
  "dos_at_fermi_per_ev_fu": 12.15
}

***

# 14
{
  "formula": "LaCe2PmSe4",
  "functional": "PBE",
  "state": "optimized geometry",
  "cell": [[7.321, 0.000, 0.000], [0.000, 4.215, 0.000], [-2.426, 0.000, 6.948]],
  "species": ["La", "Ce", "Ce", "Pm", "Se", "Se", "Se", "Se"],
  "fractional_positions": [[0.000, 0.000, 0.000], [0.000, 0.500, 0.500], [0.500, 0.000, 0.500], [0.500, 0.500, 0.000], [0.253, 0.000, 0.749], [0.255, 0.500, 0.254], [0.745, 0.500, 0.746], [0.747, 0.000, 0.251]],
  "energy_ev_per_fu": -50.44,
  "dos_at_fermi_per_ev_fu": 13.45,
  "raw_formation_energy_kj_per_mol_fu": -1443
}

***

# 15
{
  "formula": "K2NaCd6Ag",
  "functional": "PBE",
  "state": "optimized geometry",
  "cell": [[0.000, 5.627, 5.627], [5.627, 0.000, 5.627], [5.627, 5.627, 0.000]],
  "species": ["K", "K", "Na", "Cd", "Cd", "Cd", "Cd", "Cd", "Cd", "Ag"],
  "fractional_positions": [[0.250, 0.250, 0.250], [0.750, 0.750, 0.750], [0.000, 0.000, 0.000], [0.257, 0.257, 0.743], [0.257, 0.743, 0.257], [0.257, 0.743, 0.743], [0.743, 0.257, 0.257], [0.743, 0.257, 0.743], [0.743, 0.743, 0.257], [0.500, 0.500, 0.500]],
  "e_form_mev_per_atom": 121,
  "energy_ev_per_fu": -10.65,
  "dos_at_fermi_per_ev_fu": 5.68
}

***

# 16
{
  "formula": "Tb4AgPdRu2",
  "functional": "PBE",
  "state": "optimized geometry",
  "cell": [[2.468, 1.425, 8.070], [-2.468, 1.425, 8.070], [0.000, -2.849, 8.070]],
  "species": ["Tb", "Tb", "Tb", "Tb", "Ag", "Pd", "Ru", "Ru"],
  "fractional_positions": [[0.123, 0.123, 0.123], [0.373, 0.373, 0.373], [0.627, 0.627, 0.627], [0.877, 0.877, 0.877], [0.500, 0.500, 0.500], [0.000, 0.000, 0.000], [0.250, 0.250, 0.250], [0.750, 0.750, 0.750]],
  "e_form_mev_per_atom": -485,
  "energy_ev_per_fu": -48.99,
  "dos_at_fermi_per_ev_fu": 2.78
}

***

# 17
{
  "formula": "CdPd8Au2",
  "functional": "PBE",
  "state": "optimized geometry",
  "cell": [[6.132, -3.518, 0.000], [6.132, 3.518, 0.000], [-1.227, 0.000, 4.651]],
  "species": ["Cd", "Pd", "Pd", "Pd", "Pd", "Pd", "Pd", "Pd", "Pd", "Au", "Au"],
  "fractional_positions": [[0.000, 0.000, 0.000], [0.235, 0.235, 0.097], [0.244, 0.621, 0.219], [0.363, 0.363, 0.682], [0.379, 0.756, 0.781], [0.621, 0.244, 0.219], [0.637, 0.637, 0.318], [0.756, 0.379, 0.781], [0.765, 0.765, 0.903], [0.134, 0.134, 0.535], [0.866, 0.866, 0.465]],
  "e_form_mev_per_atom": 224,
  "de_polymorph_ev_per_fu": 3.87,
  "energy_ev_per_fu": -46.55,
  "dos_at_fermi_per_ev_fu": 18.34
}

***

# 18
{
  "formula": "NbTlPd2Pb",
  "functional": "PBE",
  "state": "optimized geometry",
  "cell": [[4.931, 0.000, 0.000], [0.000, 4.931, 0.000], [0.000, 0.000, 5.477]],
  "species": ["Nb", "Tl", "Pd", "Pd", "Pb"],
  "fractional_positions": [[0.000, 0.000, 0.000], [0.000, 0.000, 0.500], [0.000, 0.500, 0.000], [0.500, 0.000, 0.000], [0.500, 0.500, 0.500]],
  "e_form_mev_per_atom": 687,
  "energy_ev_per_fu": -23.09,
  "dos_at_fermi_per_ev_fu": 4.10
}

***

# 19
{
  "formula": "ScTiFeHg2",
  "functional": "PBE",
  "state": "optimized geometry",
  "cell": [[5.012, 0.000, 0.000], [0.000, 5.012, 0.000], [0.000, 0.000, 4.274]],
  "species": ["Sc", "Ti", "Fe", "Hg", "Hg"],
  "fractional_positions": [[0.000, 0.000, 0.000], [0.500, 0.500, 0.000], [0.000, 0.000, 0.500], [0.000, 0.500, 0.500], [0.500, 0.000, 0.500]],
  "e_form_mev_per_atom": 574,
  "energy_ev_per_fu": -20.42,
  "dos_at_fermi_per_ev_fu": 6.25
}

***

# 20
{
  "formula": "Be2HgPt",
  "functional": "PBE",
  "state": "optimized geometry",
  "cell": [[4.236, -1.506, 0.000], [4.236, 1.506, 0.000], [-1.109, 0.000, 4.283]],
  "species": ["Be", "Be", "Hg", "Pt"],
  "fractional_positions": [[0.000, 0.000, 0.000], [0.732, 0.732, 0.261], [0.236, 0.236, 0.760], [0.461, 0.461, 0.374]],
  "e_form_mev_per_atom": -72,
  "de_polymorph_ev_per_fu": 0.37,
  "energy_ev_per_fu": -14.08,
  "dos_at_fermi_per_ev_fu": 0.83
}